A geometry-optimized KTa4Se8 structure. Source: Alexandria, functional PBE.

Calculated values
ΔE_f (raw): -0.63 eV/atom
V: 24.60 A^3/atom
Fermi-level density of states: 14.45 states/eV/f.u.
energy: -0.4784 Ry/atom

Cell and atoms, written as POSCAR:
```
KTa4Se8
1.0
0.000 5.427 5.427
5.427 0.000 5.427
5.427 5.427 0.000
K Ta Se
1 4 8
Direct
0.000 0.000 0.000
0.178 0.607 0.607
0.607 0.178 0.607
0.607 0.607 0.178
0.607 0.607 0.607
0.370 0.370 0.370
0.370 0.370 0.889
0.370 0.889 0.370
0.443 0.852 0.852
0.852 0.443 0.852
0.852 0.852 0.443
0.852 0.852 0.852
0.889 0.370 0.370
```

---

A geometry-optimized Tm2In8Pd structure. Source: Alexandria, functional PBE.

Calculated values
energy of formation from the pure elements: -0.36 eV/atom
V: 23.92 A^3/atom
Fermi-level density of states: 7.52 states/eV/f.u.
energy: -0.2675 Ry/atom

Cell and atoms, written as POSCAR:
```
Tm2In8Pd
1.0
4.676 0.000 0.000
0.000 4.676 0.000
0.000 0.000 12.035
Tm In Pd
2 8 1
Direct
0.000 0.000 0.188
0.000 0.000 0.812
0.000 0.500 0.000
0.000 0.500 0.372
0.000 0.500 0.628
0.500 0.000 0.000
0.500 0.000 0.372
0.500 0.000 0.628
0.500 0.500 0.191
0.500 0.500 0.809
0.000 0.000 0.500
```

---

A geometry-optimized Pr2Sm6Tl structure. Source: Alexandria, functional PBE.

Calculated values
energy of formation from the pure elements: -0.05 eV/atom
V: 33.03 A^3/atom
Fermi-level density of states: 13.32 states/eV/f.u.
energy: -0.3324 Ry/atom

Cell and atoms, written as POSCAR:
```
Pr2Sm6Tl
1.0
6.359 0.000 0.000
-0.006 9.149 0.000
-3.172 -3.523 10.220
Pr Sm Tl
4 12 2
Direct
0.060 0.302 0.445
0.385 0.802 0.445
0.615 0.198 0.555
0.940 0.698 0.555
0.040 0.475 0.787
0.178 0.089 0.680
0.254 0.025 0.214
0.273 0.867 0.896
0.379 0.633 0.104
0.498 0.411 0.319
0.502 0.589 0.681
0.621 0.367 0.896
0.727 0.133 0.104
0.746 0.975 0.786
0.822 0.911 0.320
0.960 0.525 0.213
0.170 0.250 0.000
0.830 0.750 0.000
```

---

A geometry-optimized PaFeRe structure. Source: Alexandria, functional PBE.

Calculated values
energy of formation from the pure elements: 0.06 eV/atom
V: 16.55 A^3/atom
Fermi-level density of states: 0.82 states/eV/f.u.
energy: -0.7409 Ry/atom

Cell and atoms, written as POSCAR:
```
PaFeRe
1.0
-1.443 1.443 5.960
1.443 -1.443 5.960
1.443 1.443 -5.960
Pa Fe Re
1 1 1
Direct
0.000 0.000 0.000
0.681 0.681 0.000
0.302 0.302 0.000
```